Material: Sc12Pt3O5
Method: DFT, PBE-GGA
State: optimized geometry

Output
Its space group is Ia-3d, No. 230. The calculation puts the size of the total moment at 14.7 μB/cell. As for the total DFT energy (no corrections): -7.752 eV per atom. The formation energy from raw total energies comes out at -1.808 eV per atom.

Cell lengths 12.2593, 12.2593, 12.2593 Å; angles 109.47, 109.47, 109.47 degrees
Atoms (fractional coordinates):
Sc 0.0190 0.2038 0.1151
Sc 0.0190 0.3152 0.9038
Sc 0.0887 0.7038 0.6848
Sc 0.0887 0.8849 0.4038
Sc 0.0962 0.6151 0.4113
Sc 0.0962 0.9810 0.6848
Sc 0.1151 0.0190 0.2038
Sc 0.1151 0.5962 0.9113
Sc 0.1848 0.2038 0.5887
Sc 0.1848 0.4810 0.5962
Sc 0.2038 0.1151 0.0190
Sc 0.2038 0.5887 0.1848
Sc 0.2962 0.3152 0.9113
Sc 0.2962 0.4810 0.3849
Sc 0.3152 0.9038 0.0190
Sc 0.3152 0.9113 0.2962
Sc 0.3849 0.2962 0.4810
Sc 0.3849 0.5887 0.9038
Sc 0.4038 0.0887 0.8849
Sc 0.4038 0.8152 0.5190
Sc 0.4113 0.0962 0.6151
Sc 0.4113 0.8152 0.7962
Sc 0.4810 0.3849 0.2962
Sc 0.4810 0.5962 0.1848
Sc 0.5190 0.4038 0.8152
Sc 0.5190 0.6151 0.7038
Sc 0.5887 0.1848 0.2038
Sc 0.5887 0.9038 0.3849
Sc 0.5962 0.1848 0.4810
Sc 0.5962 0.9113 0.1151
Sc 0.6151 0.4113 0.0962
Sc 0.6151 0.7038 0.5190
Sc 0.6848 0.0887 0.7038
Sc 0.6848 0.0962 0.9810
Sc 0.7038 0.5190 0.6151
Sc 0.7038 0.6848 0.0887
Sc 0.7962 0.4113 0.8152
Sc 0.7962 0.8849 0.9810
Sc 0.8152 0.5190 0.4038
Sc 0.8152 0.7962 0.4113
Sc 0.8849 0.4038 0.0887
Sc 0.8849 0.9810 0.7962
Sc 0.9038 0.0190 0.3152
Sc 0.9038 0.3849 0.5887
Sc 0.9113 0.1151 0.5962
Sc 0.9113 0.2962 0.3152
Sc 0.9810 0.6848 0.0962
Sc 0.9810 0.7962 0.8849
Pt 0.1250 0.2500 0.3750
Pt 0.1250 0.3750 0.7500
Pt 0.2500 0.3750 0.1250
Pt 0.2500 0.8750 0.6250
Pt 0.3750 0.1250 0.2500
Pt 0.3750 0.7500 0.1250
Pt 0.6250 0.2500 0.8750
Pt 0.6250 0.8750 0.7500
Pt 0.7500 0.1250 0.3750
Pt 0.7500 0.6250 0.8750
Pt 0.8750 0.6250 0.2500
Pt 0.8750 0.7500 0.6250
O 0.0000 0.0000 0.0000
O 0.0000 0.0000 0.5000
O 0.0000 0.5000 0.0000
O 0.0000 0.5000 0.5000
O 0.1250 0.7500 0.8750
O 0.1250 0.8750 0.2500
O 0.2500 0.1250 0.8750
O 0.2500 0.6250 0.3750
O 0.3750 0.2500 0.6250
O 0.3750 0.6250 0.7500
O 0.5000 0.0000 0.0000
O 0.5000 0.0000 0.5000
O 0.5000 0.5000 0.0000
O 0.5000 0.5000 0.5000
O 0.6250 0.3750 0.2500
O 0.6250 0.7500 0.3750
O 0.7500 0.3750 0.6250
O 0.7500 0.8750 0.1250
O 0.8750 0.1250 0.7500
O 0.8750 0.2500 0.1250

=====

Material: Sc12Pt5O2
Method: DFT, PBE-GGA
State: optimized geometry

Output
Its space group is C2/m, No. 12. The calculation puts the size of the total moment at 0.0 μB/cell. As for the total DFT energy (no corrections): -7.322 eV per atom. The formation energy from raw total energies comes out at -1.211 eV per atom.

Cell lengths 8.1567, 8.1567, 8.1133 Å; angles 104.51, 104.51, 48.78 degrees
Atoms (fractional coordinates):
Sc 0.0010 0.0010 0.1954
Sc 0.0917 0.5843 0.9104
Sc 0.1081 0.6012 0.4337
Sc 0.3988 0.8919 0.5663
Sc 0.4157 0.9083 0.0896
Sc 0.4960 0.4960 0.1743
Sc 0.5040 0.5040 0.8257
Sc 0.5843 0.0917 0.9104
Sc 0.6012 0.1081 0.4337
Sc 0.8919 0.3988 0.5663
Sc 0.9083 0.4157 0.0896
Sc 0.9990 0.9990 0.8046
Pt 0.1842 0.1842 0.8373
Pt 0.1972 0.1972 0.3549
Pt 0.5000 0.5000 0.5000
Pt 0.8028 0.8028 0.6451
Pt 0.8158 0.8158 0.1627
O 0.2312 0.7688 0.0000
O 0.7688 0.2312 0.0000

=====

Material: Sc4Pt2O
Method: DFT, PBE-GGA
State: optimized geometry

Output
Its space group is I4/mmm, No. 139. The calculation puts the size of the total moment at 0.0 μB/cell. As for the total DFT energy (no corrections): -7.609 eV per atom. The formation energy from raw total energies comes out at -1.557 eV per atom.

Cell lengths 7.5597, 7.5597, 7.5597 Å; angles 147.16, 147.16, 47.13 degrees
Atoms (fractional coordinates):
Sc 0.0000 0.5000 0.5000
Sc 0.1794 0.1794 0.0000
Sc 0.5000 0.0000 0.5000
Sc 0.8206 0.8206 0.0000
Pt 0.3676 0.3676 0.0000
Pt 0.6324 0.6324 0.0000
O 0.0000 0.0000 0.0000

=====

Material: ScPtO2
Method: DFT, PBE-GGA
State: optimized geometry

Output
Its space group is Fm-3m, No. 225. The calculation puts the size of the total moment at 0.0 μB/cell. As for the total DFT energy (no corrections): -6.655 eV per atom. The formation energy from raw total energies comes out at -1.083 eV per atom.

Cell lengths 4.0238, 4.0238, 4.0238 Å; angles 60.00, 60.00, 60.00 degrees
Atoms (fractional coordinates):
Sc 0.0000 0.0000 0.0000
Pt 0.5000 0.5000 0.5000
O 0.2500 0.2500 0.2500
O 0.7500 0.7500 0.7500

=====

Material: Sc4Pt2O
Method: DFT, PBE-GGA
State: optimized geometry

Output
Its space group is P2_1/m, No. 11. The calculation puts the size of the total moment at 0.0 μB/cell. As for the total DFT energy (no corrections): -7.579 eV per atom. The formation energy from raw total energies comes out at -1.527 eV per atom.

Cell lengths 5.9275, 6.2472, 7.4961 Å; angles 90.00, 106.69, 90.00 degrees
Atoms (fractional coordinates):
Sc 0.0193 0.0054 0.2762
Sc 0.0193 0.4946 0.2762
Sc 0.3920 0.7500 0.0729
Sc 0.4403 0.7500 0.6340
Sc 0.5597 0.2500 0.3660
Sc 0.6080 0.2500 0.9271
Sc 0.9807 0.5054 0.7238
Sc 0.9807 0.9946 0.7238
Pt 0.2056 0.2500 0.0275
Pt 0.2734 0.2500 0.5864
Pt 0.7266 0.7500 0.4136
Pt 0.7944 0.7500 0.9725
O 0.2156 0.7500 0.7962
O 0.7844 0.2500 0.2038

=====

Material: ScPtO2
Method: DFT, PBE-GGA
State: optimized geometry

Output
Its space group is I-42d, No. 122. The calculation puts the size of the total moment at 2.1 μB/cell. As for the total DFT energy (no corrections): -7.092 eV per atom. The formation energy from raw total energies comes out at -1.520 eV per atom.

Cell lengths 6.0290, 6.0290, 6.0290 Å; angles 131.89, 131.89, 70.41 degrees
Atoms (fractional coordinates):
Sc 0.0000 0.0000 0.0000
Sc 0.7500 0.2500 0.5000
Pt 0.2500 0.7500 0.5000
Pt 0.5000 0.5000 0.0000
O 0.0760 0.6250 0.9510
O 0.3750 0.3260 0.4510
O 0.6740 0.1250 0.0490
O 0.8750 0.9240 0.5490

=====

Q: The lowest formation energy from raw total energies belongs to which entry?
A: Sc12Pt3O5

=====

Q: Which value of total DFT energy (no corrections) does entry 5 give?
A: -7.579 eV per atom

=====

Q: Number 2 is which compound?
A: Sc12Pt5O2

=====

Q: The highest size of the total moment belongs to which entry?
A: Sc12Pt3O5